(1)
# YCoTc2, relaxed, DFT PBE-GGA
data_YCoTc2
_cell_length_a 5.331
_cell_length_b 9.260
_cell_length_c 2.835
_cell_angle_alpha 90.00
_cell_angle_beta 111.64
_cell_angle_gamma 90.00
_space_group_name_H-M_alt 'C 1 2/m 1'
_space_group_IT_number 12
loop_
_space_group_symop_operation_xyz
'x,y,z'
'-x,-y,-z'
'-x,y,-z'
'x,-y,z'
'x+1/2,y+1/2,z'
'-x+1/2,-y+1/2,-z'
'-x+1/2,y+1/2,-z'
'x+1/2,-y+1/2,z'
loop_
_atom_site_label
_atom_site_type_symbol
_atom_site_fract_x
_atom_site_fract_y
_atom_site_fract_z
Y1 Y 0.000 0.000 0.000
Co1 Co 0.000 0.500 0.000
Tc1 Tc 0.250 0.250 0.500
# relative energy among the computed polymorphs	0.274	eV per atom
# crystal system	monoclinic
# spin magnetization	1.7	μB per formula unit

=====

(2)
# TbPa2Co9, relaxed, DFT PBE-GGA
data_TbPa2Co9
_cell_length_a 4.8759
_cell_length_b 4.8759
_cell_length_c 24.6007
_cell_angle_alpha 90.00
_cell_angle_beta 90.00
_cell_angle_gamma 120.00
_space_group_name_H-M_alt 'R -3 m'
_space_group_IT_number 166
_space_group_name_Hall '-R 3 2"'
loop_
_atom_site_label
_atom_site_type_symbol
_atom_site_fract_x
_atom_site_fract_y
_atom_site_fract_z
Tb1 Tb 0.0000 0.0000 0.0000
Pa1 Pa 0.0000 0.0000 0.1382
Co1 Co 0.0000 0.0000 0.3328
Co2 Co 0.0000 0.0000 0.5000
Co3 Co 0.0007 0.5004 0.0818
# crystal system	trigonal
# spin magnetization	6.5	μB per formula unit
# E_tot	-7.5409	eV per atom

=====

(3)
# TbMg2Zn, relaxed, DFT PBE-GGA
data_TbMg2Zn
_cell_length_a 3.1832
_cell_length_b 3.1832
_cell_length_c 33.0154
_cell_angle_alpha 90.00
_cell_angle_beta 90.00
_cell_angle_gamma 120.00
_space_group_name_H-M_alt 'R -3 m'
_space_group_IT_number 166
_space_group_name_Hall '-R 3 2"'
loop_
_atom_site_label
_atom_site_type_symbol
_atom_site_fract_x
_atom_site_fract_y
_atom_site_fract_z
Tb1 Tb 0.0000 0.0000 0.0000
Mg1 Mg 0.0000 0.0000 0.0979
Zn1 Zn 0.0000 0.0000 0.5000
# crystal system	trigonal
# spin magnetization	0.0	μB per formula unit
# E_tot	-2.0825	eV per atom

=====

(4)
# Nd2DyCo, relaxed, DFT PBE-GGA
data_Nd2DyCo
_cell_length_a 3.6565
_cell_length_b 3.6565
_cell_length_c 31.4222
_cell_angle_alpha 90.00
_cell_angle_beta 90.00
_cell_angle_gamma 120.00
_space_group_name_H-M_alt 'R -3 m'
_space_group_IT_number 166
_space_group_name_Hall '-R 3 2"'
loop_
_atom_site_label
_atom_site_type_symbol
_atom_site_fract_x
_atom_site_fract_y
_atom_site_fract_z
Nd1 Nd 0.0000 0.0000 0.1119
Dy1 Dy 0.0000 0.0000 0.0000
Co1 Co 0.0000 0.0000 0.5000
# relative energy among the computed polymorphs	0.328	eV per atom
# crystal system	trigonal
# spin magnetization	0.0	μB per formula unit

=====

(5)
# Al2AsRu, relaxed, DFT PBE-GGA
data_Al2AsRu
_cell_length_a 7.013
_cell_length_b 7.013
_cell_length_c 5.399
_cell_angle_alpha 90.00
_cell_angle_beta 90.00
_cell_angle_gamma 90.00
_space_group_name_H-M_alt 'I -4 2 d'
_space_group_IT_number 122
_space_group_name_Hall 'I -4 2bw'
loop_
_atom_site_label
_atom_site_type_symbol
_atom_site_fract_x
_atom_site_fract_y
_atom_site_fract_z
Al1 Al 0.248 0.250 0.125
As1 As 0.000 0.000 0.500
Ru1 Ru 0.000 0.000 0.000
# crystal system	tetragonal
# spin magnetization	0.0	μB per formula unit
# E_tot	-5.2022	eV per atom

=====

(6)
# Be3NbGe, relaxed, DFT PBE-GGA
data_Be3NbGe
_cell_length_a 4.494
_cell_length_b 4.494
_cell_length_c 4.494
_cell_angle_alpha 90.00
_cell_angle_beta 90.00
_cell_angle_gamma 90.00
_space_group_name_H-M_alt 'P m -3 m'
_space_group_IT_number 221
_space_group_name_Hall '-P 4 2 3'
loop_
_atom_site_label
_atom_site_type_symbol
_atom_site_fract_x
_atom_site_fract_y
_atom_site_fract_z
Be1 Be 0.000 0.000 0.500
Nb1 Nb 0.000 0.000 0.000
Ge1 Ge 0.500 0.500 0.500
# relative energy among the computed polymorphs	0.587	eV per atom
# crystal system	cubic
# spin magnetization	0.0	μB per formula unit

=====

(7)
# Ac3CuHg, relaxed, DFT PBE-GGA
data_Ac3CuHg
_cell_length_a 4.194
_cell_length_b 9.108
_cell_length_c 9.230
_cell_angle_alpha 88.10
_cell_angle_beta 89.98
_cell_angle_gamma 76.70
_space_group_name_H-M_alt 'P 1'
_space_group_IT_number 1
loop_
_space_group_symop_operation_xyz
'x,y,z'
loop_
_atom_site_label
_atom_site_type_symbol
_atom_site_fract_x
_atom_site_fract_y
_atom_site_fract_z
Ac1 Ac 0.000 0.000 0.000
Ac2 Ac 0.096 0.807 0.604
Ac3 Ac 0.298 0.405 0.995
Ac4 Ac 0.441 0.114 0.347
Ac5 Ac 0.654 0.692 0.257
Ac6 Ac 0.798 0.402 0.610
Cu1 Cu 0.267 0.465 0.360
Cu2 Cu 0.828 0.342 0.245
Hg1 Hg 0.446 0.109 0.724
Hg2 Hg 0.651 0.698 0.880
# crystal system	triclinic
# spin magnetization	0.0	μB per formula unit
# E_tot	-3.5637	eV per atom

=====

(8)
# Pr6Co2SBr3, relaxed, DFT PBE-GGA
data_Pr6Co2SBr3
_cell_length_a 19.255
_cell_length_b 4.016
_cell_length_c 9.160
_cell_angle_alpha 90.00
_cell_angle_beta 108.74
_cell_angle_gamma 90.00
_space_group_name_H-M_alt 'C 1 2/m 1'
_space_group_IT_number 12
loop_
_space_group_symop_operation_xyz
'x,y,z'
'-x,-y,-z'
'-x,y,-z'
'x,-y,z'
'x+1/2,y+1/2,z'
'-x+1/2,-y+1/2,-z'
'-x+1/2,y+1/2,-z'
'x+1/2,-y+1/2,z'
loop_
_atom_site_label
_atom_site_type_symbol
_atom_site_fract_x
_atom_site_fract_y
_atom_site_fract_z
Pr1 Pr 0.017 0.000 0.232
Pr2 Pr 0.162 0.500 0.121
Pr3 Pr 0.180 0.500 0.543
Co1 Co 0.166 0.000 0.326
S1 S 0.000 0.500 0.000
Br1 Br 0.000 0.500 0.500
Br2 Br 0.161 0.000 0.833
# formation energy without anion corrections	-12.09	eV per formula unit
# crystal system	monoclinic
# spin magnetization	0.0	μB per formula unit